Computed, not measured: a relaxed HoPuCl crystal at the GGA-PBE level of DFT.

It has space group P1 (No. 1), with a = 3.4581 Å, b = 3.4795 Å, c = 12.2869 Å, α = 89.98°, β = 89.86° and γ = 89.97°. Symmetry generates all atoms from Ho at (0.0000, 0.0000, 0.0000), Ho at (0.4960, 0.4993, 0.4722), Pu at (0.4949, 0.6485, 0.2043), Pu at (0.9943, 0.1484, 0.2679), Cl at (0.5010, 0.4968, 0.8759) and Cl at (0.9949, 0.9960, 0.5963).

Its volume is 73.9 Å³/f.u. For the density of states at the Fermi level, the calculation gives 3.9 states/eV/f.u. As for the uncorrected formation energy: -0.7974 eV per atom. The calculation puts the total energy at -46.30 eV/cell.

---

Computed, not measured: a relaxed HfTiZnMo2 crystal at the GGA-PBE level of DFT.

It has space group P4/mmm (No. 123), with a = 4.6218 Å, b = 4.6218 Å, c = 4.7478 Å, α = 90.00°, β = 90.00° and γ = 90.00°. Symmetry generates all atoms from Hf at (0.0000, 0.0000, 0.0000), Ti at (0.5000, 0.5000, 0.0000), Zn at (0.0000, 0.0000, 0.5000) and Mo at (0.0000, 0.5000, 0.5000).

Its volume is 101.4 Å³/f.u. For the density of states at the Fermi level, the calculation gives 8.2 states/eV/f.u. The calculation puts the total energy at -34.36 eV/cell.

---

Computed, not measured: a relaxed KRe2Pb crystal at the GGA-PBE level of DFT.

It has space group Immm (No. 71), with a = 2.8708 Å, b = 5.2056 Å, c = 11.1747 Å, α = 90.00°, β = 90.00° and γ = 90.00°. Symmetry generates all atoms from K at (0.0000, 0.0000, 0.0000), Re at (0.0000, 0.5000, 0.2178) and Pb at (0.0000, 0.0000, 0.5000).

Its volume is 83.5 Å³/f.u. For the density of states at the Fermi level, the calculation gives 3.2 states/eV/f.u. The calculation puts the total energy at -47.24 eV/cell.